No. 1
Entry from Alexandria: a relaxed Sm2Ho3Al3 crystal (GGA-PBE).

CIF file:
```
data_Sm2Ho3Al3
_cell_length_a 3.692
_cell_length_b 5.131
_cell_length_c 11.331
_cell_angle_alpha 103.09
_cell_angle_beta 99.38
_cell_angle_gamma 90.00
_space_group_name_H-M_alt 'P 1'
_space_group_IT_number 1
loop_
_space_group_symop_operation_xyz
'x,y,z'
loop_
_atom_site_label
_atom_site_fract_x
_atom_site_fract_y
_atom_site_fract_z
Sm1 0.271 0.771 0.542
Sm2 0.729 0.229 0.458
Ho1 0.382 0.382 0.765
Ho2 0.618 0.618 0.235
Ho3 0.500 0.000 0.000
Al1 0.887 0.887 0.773
Al2 0.000 0.500 0.000
Al3 0.113 0.113 0.227
```

Values from the calculation:
**Formation energy from the elements**: -0.280 eV/atom
**Energy relative to the lowest polymorph listed for this composition**: 0 meV per atom
**Magnetization**: 0.00 μB per formula unit

=====

No. 2
Entry from Alexandria: a relaxed Li2LaW crystal (GGA-PBE).

CIF file:
```
data_Li2LaW
_cell_length_a 6.455
_cell_length_b 6.455
_cell_length_c 6.455
_cell_angle_alpha 153.25
_cell_angle_beta 133.34
_cell_angle_gamma 54.59
_space_group_name_H-M_alt 'P 1'
_space_group_IT_number 1
loop_
_space_group_symop_operation_xyz
'x,y,z'
loop_
_atom_site_label
_atom_site_fract_x
_atom_site_fract_y
_atom_site_fract_z
La1 0.250 0.750 0.500
Li1 0.966 0.966 0.000
Li2 0.534 0.534 0.000
W1 0.750 0.250 0.500
```

Values from the calculation:
**Formation energy from the elements**: 0.574 eV/atom
**Energy relative to the lowest polymorph listed for this composition**: 72 meV per atom
**Magnetization**: 0.00 μB per formula unit

=====

No. 3
Entry from Alexandria: a relaxed DyTh2ReN5 crystal (GGA-PBE).

CIF file:
```
data_DyTh2ReN5
_cell_length_a 5.869
_cell_length_b 6.802
_cell_length_c 6.802
_cell_angle_alpha 90.00
_cell_angle_beta 90.00
_cell_angle_gamma 90.00
_space_group_name_H-M_alt 'P 1'
_space_group_IT_number 1
loop_
_space_group_symop_operation_xyz
'x,y,z'
loop_
_atom_site_label
_atom_site_fract_x
_atom_site_fract_y
_atom_site_fract_z
Dy1 0.000 0.500 0.500
Dy2 0.000 0.000 0.000
Th1 0.500 0.673 0.173
Th2 0.500 0.173 0.327
Th3 0.500 0.827 0.673
Th4 0.500 0.327 0.827
Re1 0.000 0.000 0.500
Re2 0.000 0.500 0.000
N1 0.500 0.500 0.500
N2 0.500 0.000 0.000
N3 0.233 0.144 0.644
N4 0.233 0.856 0.356
N5 0.233 0.356 0.144
N6 0.233 0.644 0.856
N7 0.767 0.144 0.644
N8 0.767 0.644 0.856
N9 0.767 0.856 0.356
N10 0.767 0.356 0.144
```

Values from the calculation:
**Formation energy from raw total energies**: -0.98 eV per atom
**Magnetization**: 0.00 μB per formula unit

=====

Number 1: volume 206 Å³/cell, uncorrected energy -4.5798 eV per atom. Number 2: volume 88 Å³/cell, uncorrected energy -4.8532 eV per atom. Number 3: volume 272 Å³/cell, uncorrected energy -9.1481 eV per atom.